# LiSm2As

A relaxed LiSm2As crystal (PBE-GGA, the Alexandria database).

Results
SG: R-3m, No. 166
Excess energy over the best structure of this formula in the dataset: 65 kJ/mol of formula units

Cell lengths 3.9185, 3.9185, 30.9608 Å; angles 90.00, 90.00, 120.00 degrees
Element x y z (fractional)
Li  0.0000  0.0000  0.0000
Li  0.3333  0.6667  0.6667
Li  0.6667  0.3333  0.3333
Sm  0.0000  0.0000  0.1107
Sm  0.0000  0.0000  0.8893
Sm  0.3333  0.6667  0.5559
Sm  0.3333  0.6667  0.7774
Sm  0.6667  0.3333  0.2226
Sm  0.6667  0.3333  0.4441
As  0.0000  0.0000  0.5000
As  0.3333  0.6667  0.1667
As  0.6667  0.3333  0.8333



# LiSmAs

A relaxed LiSmAs crystal (PBE-GGA, the Alexandria database).

Results
SG: P4/nmm, No. 129
Excess energy over the best structure of this formula in the dataset: 0 kJ/mol of formula units

Cell lengths 4.1553, 4.1553, 7.2042 Å; angles 90.00, 90.00, 90.00 degrees
Element x y z (fractional)
Li  0.2500  0.7500  0.0000
Li  0.7500  0.2500  0.0000
Sm  0.2500  0.2500  0.3443
Sm  0.7500  0.7500  0.6557
As  0.2500  0.2500  0.7669
As  0.7500  0.7500  0.2331



# SrLi2SmAs2

A relaxed SrLi2SmAs2 crystal (PBE-GGA, the Alexandria database).

Results
SG: P-3m1, No. 164

Cell lengths 4.3743, 4.3743, 8.0366 Å; angles 90.00, 90.00, 120.00 degrees
Element x y z (fractional)
Sr  0.0000  0.0000  0.0000
Li  0.3333  0.6667  0.7337
Li  0.6667  0.3333  0.2663
Sm  0.0000  0.0000  0.5000
As  0.3333  0.6667  0.2673
As  0.6667  0.3333  0.7327



Formation energy, record by record: -0.426, -1.026, -0.988 eV per atom